Entry 1:
VASP calculation (PBE) on crystalline In2FeMo at its relaxed geometry.

The structure in CIF format:
```
data_In2FeMo
_chemical_formula_sum 'In8 Fe4 Mo4'
_symmetry_space_group_name_H-M 'F m -3 m'
_symmetry_Int_Tables_number 225
_symmetry_space_group_name_Hall '-F 4 2 3'
_cell_length_a 6.5348
_cell_length_b 6.5348
_cell_length_c 6.5348
_cell_angle_alpha 90.00
_cell_angle_beta 90.00
_cell_angle_gamma 90.00
loop_
_atom_site_label
_atom_site_fract_x
_atom_site_fract_y
_atom_site_fract_z
_atom_site_occupancy
In1 0.2500 0.2500 0.2500 1
Fe1 0.0000 0.0000 0.0000 1
Mo1 0.0000 0.0000 0.5000 1
```

Crystal system   cubic
ΔE_f   504 meV/atom

Entry 2:
VASP calculation (PBE) on crystalline Mg2UTeO8 at its relaxed geometry.

The structure in CIF format:
```
data_Mg2UTeO8
_chemical_formula_sum 'Mg4 U2 Te2 O16'
_symmetry_space_group_name_H-M 'C m m m'
_symmetry_Int_Tables_number 65
_symmetry_space_group_name_Hall '-C 2 2'
_cell_length_a 6.5127
_cell_length_b 6.8287
_cell_length_c 6.5981
_cell_angle_alpha 90.00
_cell_angle_beta 90.00
_cell_angle_gamma 90.00
loop_
_atom_site_label
_atom_site_fract_x
_atom_site_fract_y
_atom_site_fract_z
_atom_site_occupancy
Mg1 0.0000 0.0000 0.2339 1
U1 0.0000 0.5000 0.5000 1
Te1 0.0000 0.5000 0.0000 1
O1 0.0000 0.3098 0.2302 1
O2 0.2007 0.0000 0.5000 1
O3 0.2098 0.0000 0.0000 1
```

Crystal system   orthorhombic
Formation energy (no corrections)   -2.2653 eV/atom

Entry 3:
VASP calculation (PBE) on crystalline HfAlInCo2 at its relaxed geometry.

The structure in CIF format:
```
data_HfAlInCo2
_chemical_formula_sum 'Hf1 Al1 In1 Co2'
_symmetry_space_group_name_H-M 'P 4/m m m'
_symmetry_Int_Tables_number 123
_symmetry_space_group_name_Hall '-P 4 2'
_cell_length_a 4.3725
_cell_length_b 4.3725
_cell_length_c 4.9631
_cell_angle_alpha 90.00
_cell_angle_beta 90.00
_cell_angle_gamma 90.00
loop_
_atom_site_label
_atom_site_fract_x
_atom_site_fract_y
_atom_site_fract_z
_atom_site_occupancy
Hf1 0.0000 0.0000 0.0000 1
Al1 0.0000 0.0000 0.5000 1
In1 0.5000 0.5000 0.0000 1
Co1 0.0000 0.5000 0.5000 1
```

Crystal system   tetragonal
ΔE_f   695 meV/atom

Entry 4:
VASP calculation (PBE) on crystalline ZnGe2Pt at its relaxed geometry.

The structure in CIF format:
```
data_ZnGe2Pt
_chemical_formula_sum 'Zn3 Ge6 Pt3'
_symmetry_space_group_name_H-M 'R -3 m'
_symmetry_Int_Tables_number 166
_symmetry_space_group_name_Hall '-R 3 2"'
_cell_length_a 3.4450
_cell_length_b 3.4450
_cell_length_c 24.1364
_cell_angle_alpha 90.00
_cell_angle_beta 90.00
_cell_angle_gamma 120.00
loop_
_atom_site_label
_atom_site_fract_x
_atom_site_fract_y
_atom_site_fract_z
_atom_site_occupancy
Zn1 0.0000 0.0000 0.0000 1
Ge1 0.0000 0.0000 0.1010 1
Pt1 0.0000 0.0000 0.5000 1
```

Crystal system   trigonal
ΔE_f   -65 meV/atom

Entry 5:
VASP calculation (PBE) on crystalline Tb2HoTm5 at its relaxed geometry.

The structure in CIF format:
```
data_Tb2HoTm5
_chemical_formula_sum 'Tb4 Ho2 Tm10'
_symmetry_space_group_name_H-M 'P b a m'
_symmetry_Int_Tables_number 55
_symmetry_space_group_name_Hall '-P 2 2ab'
_cell_length_a 7.0053
_cell_length_b 14.0117
_cell_length_c 4.9484
_cell_angle_alpha 90.00
_cell_angle_beta 90.00
_cell_angle_gamma 90.00
loop_
_atom_site_label
_atom_site_fract_x
_atom_site_fract_y
_atom_site_fract_z
_atom_site_occupancy
Tb1 0.2503 0.1252 0.0000 1
Ho1 0.0000 0.0000 0.5000 1
Tm1 0.0001 0.2502 0.5000 1
Tm2 0.0000 0.5000 0.5000 1
Tm3 0.2501 0.3748 0.0000 1
```

Crystal system   orthorhombic
ΔE_f   21 meV/atom

Entry 6:
VASP calculation (PBE) on crystalline LaNdLuTh at its relaxed geometry.

The structure in CIF format:
```
data_LaNdLuTh
_chemical_formula_sum 'La4 Nd4 Lu4 Th4'
_symmetry_space_group_name_H-M 'F -4 3 m'
_symmetry_Int_Tables_number 216
_symmetry_space_group_name_Hall 'F -4 2 3'
_cell_length_a 8.1340
_cell_length_b 8.1340
_cell_length_c 8.1340
_cell_angle_alpha 90.00
_cell_angle_beta 90.00
_cell_angle_gamma 90.00
loop_
_atom_site_label
_atom_site_fract_x
_atom_site_fract_y
_atom_site_fract_z
_atom_site_occupancy
La1 0.0000 0.0000 0.0000 1
Nd1 0.0000 0.0000 0.5000 1
Lu1 0.2500 0.2500 0.2500 1
Th1 0.2500 0.2500 0.7500 1
```

Crystal system   cubic
ΔE_f   211 meV/atom

Entry 7:
VASP calculation (PBE) on crystalline SnHPd5 at its relaxed geometry.

The structure in CIF format:
```
data_SnHPd5
_chemical_formula_sum 'Sn4 H4 Pd20'
_symmetry_space_group_name_H-M 'C 1 2/c 1'
_symmetry_Int_Tables_number 15
_symmetry_space_group_name_Hall '-C 2yc'
_cell_length_a 9.3820
_cell_length_b 7.3481
_cell_length_c 7.9148
_cell_angle_alpha 90.00
_cell_angle_beta 124.03
_cell_angle_gamma 90.00
loop_
_atom_site_label
_atom_site_fract_x
_atom_site_fract_y
_atom_site_fract_z
_atom_site_occupancy
Sn1 0.0000 0.0730 0.2500 1
H1 0.2500 0.2500 0.0000 1
Pd1 0.0000 0.2840 0.7500 1
Pd2 0.1405 0.3987 0.4688 1
Pd3 0.1871 0.2852 0.1695 1
```

Crystal system   monoclinic
E   -4.815 eV/atom

Entry 8:
VASP calculation (PBE) on crystalline KYCo at its relaxed geometry.

The structure in CIF format:
```
data_KYCo
_chemical_formula_sum 'K1 Y1 Co1'
_symmetry_space_group_name_H-M 'P 3 m 1'
_symmetry_Int_Tables_number 156
_symmetry_space_group_name_Hall 'P 3 -2"'
_cell_length_a 3.7353
_cell_length_b 3.7353
_cell_length_c 7.7723
_cell_angle_alpha 90.00
_cell_angle_beta 90.00
_cell_angle_gamma 120.00
loop_
_atom_site_label
_atom_site_fract_x
_atom_site_fract_y
_atom_site_fract_z
_atom_site_occupancy
K1 0.0000 0.0000 0.0000 1
Y1 0.6667 0.3333 0.4889 1
Co1 0.3333 0.6667 0.6876 1
```

Crystal system   trigonal
ΔE_f   571 meV/atom

Entry 9:
VASP calculation (PBE) on crystalline Cs2CuSnCl at its relaxed geometry.

The structure in CIF format:
```
data_Cs2CuSnCl
_chemical_formula_sum 'Cs2 Cu1 Sn1 Cl1'
_symmetry_space_group_name_H-M 'P 4/m m m'
_symmetry_Int_Tables_number 123
_symmetry_space_group_name_Hall '-P 4 2'
_cell_length_a 6.9778
_cell_length_b 6.9778
_cell_length_c 4.5334
_cell_angle_alpha 90.00
_cell_angle_beta 90.00
_cell_angle_gamma 90.00
loop_
_atom_site_label
_atom_site_fract_x
_atom_site_fract_y
_atom_site_fract_z
_atom_site_occupancy
Cs1 0.0000 0.5000 0.0000 1
Cu1 0.0000 0.0000 0.5000 1
Sn1 0.5000 0.5000 0.5000 1
Cl1 0.0000 0.0000 0.0000 1
```

Crystal system   tetragonal
Formation energy (no corrections)   -0.1714 eV/atom

Entry 10:
VASP calculation (PBE) on crystalline KNa2IBr4 at its relaxed geometry.

The structure in CIF format:
```
data_KNa2IBr4
_chemical_formula_sum 'K4 Na8 I4 Br16'
_symmetry_space_group_name_H-M 'C 1 2/c 1'
_symmetry_Int_Tables_number 15
_symmetry_space_group_name_Hall '-C 2yc'
_cell_length_a 11.8165
_cell_length_b 13.9941
_cell_length_c 9.1270
_cell_angle_alpha 90.00
_cell_angle_beta 129.49
_cell_angle_gamma 90.00
loop_
_atom_site_label
_atom_site_fract_x
_atom_site_fract_y
_atom_site_fract_z
_atom_site_occupancy
K1 0.0000 0.0000 0.0000 1
Na1 0.0000 0.5000 0.0000 1
Na2 0.2500 0.2500 0.0000 1
I1 0.2500 0.2500 0.5000 1
Br1 0.0638 0.2806 0.5777 1
Br2 0.2503 0.0464 0.9659 1
```

Crystal system   monoclinic
Formation energy (no corrections)   -1.1743 eV/atom

Entry 11:
VASP calculation (PBE) on crystalline Cu4Pt7 at its relaxed geometry.

The structure in CIF format:
```
data_Cu4Pt7
_chemical_formula_sum 'Cu4 Pt7'
_symmetry_space_group_name_H-M 'P -1'
_symmetry_Int_Tables_number 2
_symmetry_space_group_name_Hall '-P 1'
_cell_length_a 4.7119
_cell_length_b 4.7784
_cell_length_c 7.2348
_cell_angle_alpha 83.38
_cell_angle_beta 89.88
_cell_angle_gamma 80.62
loop_
_atom_site_label
_atom_site_fract_x
_atom_site_fract_y
_atom_site_fract_z
_atom_site_occupancy
Cu1 0.0917 0.4561 0.1824 1
Cu2 0.1804 0.9096 0.3651 1
Pt1 0.0000 0.0000 0.0000 1
Pt2 0.2668 0.3638 0.5443 1
Pt3 0.3611 0.8203 0.7252 1
Pt4 0.4534 0.2758 0.9074 1
```

Crystal system   triclinic
ΔE_f   -121 meV/atom

Entry 12:
VASP calculation (PBE) on crystalline Eu2FeP3Pt7 at its relaxed geometry.

The structure in CIF format:
```
data_Eu2FeP3Pt7
_chemical_formula_sum 'Eu4 Fe2 P6 Pt14'
_symmetry_space_group_name_H-M 'I -4 m 2'
_symmetry_Int_Tables_number 119
_symmetry_space_group_name_Hall 'I -4 -2'
_cell_length_a 4.0855
_cell_length_b 4.0855
_cell_length_c 27.0814
_cell_angle_alpha 90.00
_cell_angle_beta 90.00
_cell_angle_gamma 90.00
loop_
_atom_site_label
_atom_site_fract_x
_atom_site_fract_y
_atom_site_fract_z
_atom_site_occupancy
Eu1 0.0000 0.0000 0.1650 1
Fe1 0.0000 0.0000 0.0000 1
P1 0.0000 0.0000 0.3798 1
P2 0.0000 0.5000 0.7500 1
Pt1 0.0000 0.0000 0.2927 1
Pt2 0.0000 0.0000 0.5000 1
Pt3 0.0000 0.5000 0.0715 1
Pt4 0.0000 0.5000 0.5706 1
```

Crystal system   tetragonal
ΔE_f   -793 meV/atom

Number 1: mass density 9.08 g cm⁻³. Number 2: mass density 6.14 g cm⁻³. Number 3: mass density 7.67 g cm⁻³. Number 4: mass density 8.15 g cm⁻³. Number 5: mass density 9.08 g cm⁻³. Number 6: mass density 8.52 g cm⁻³. Number 7: mass density 9.57 g cm⁻³. Number 8: mass density 3.31 g cm⁻³. Number 9: mass density 3.64 g cm⁻³. Number 10: mass density 3.03 g cm⁻³. Number 11: mass density 16.85 g cm⁻³. Number 12: mass density 13.36 g cm⁻³.